Entry 1:
# PBE MnBePS2, optimized geometry
data_MnBePS2
_cell_length_a 4.536
_cell_length_b 4.536
_cell_length_c 4.353
_cell_angle_alpha 90.00
_cell_angle_beta 90.00
_cell_angle_gamma 90.00
_space_group_name_H-M_alt 'P 4/m m m'
_space_group_IT_number 123
_space_group_name_Hall '-P 4 2'
loop_
_atom_site_label
_atom_site_type_symbol
_atom_site_fract_x
_atom_site_fract_y
_atom_site_fract_z
Mn1 Mn 0.000 0.000 0.000
Be1 Be 0.500 0.500 0.500
P1 P 0.000 0.000 0.500
S1 S 0.000 0.500 0.000
# crystal system	tetragonal
# N(E_F)	2.9	states/eV/f.u.
# formation energy (no corrections)	696	meV/atom
# size of the total moment	2.37	Bohr magnetons per cell

=====

Entry 2:
# PBE MnBeP2S, optimized geometry
data_MnBeP2S
_cell_length_a 4.133
_cell_length_b 4.133
_cell_length_c 5.202
_cell_angle_alpha 90.00
_cell_angle_beta 90.00
_cell_angle_gamma 90.00
_space_group_name_H-M_alt 'P 4/m m m'
_space_group_IT_number 123
_space_group_name_Hall '-P 4 2'
loop_
_atom_site_label
_atom_site_type_symbol
_atom_site_fract_x
_atom_site_fract_y
_atom_site_fract_z
Mn1 Mn 0.000 0.000 0.000
Be1 Be 0.500 0.500 0.500
P1 P 0.000 0.500 0.000
S1 S 0.000 0.000 0.500
# crystal system	tetragonal
# N(E_F)	2.9	states/eV/f.u.
# formation energy (no corrections)	728	meV/atom
# size of the total moment	0.26	Bohr magnetons per cell

=====

Entry 3:
# PBE MnBeP2S, optimized geometry
data_MnBeP2S
_cell_length_a 4.116
_cell_length_b 4.116
_cell_length_c 4.767
_cell_angle_alpha 90.00
_cell_angle_beta 90.00
_cell_angle_gamma 90.00
_space_group_name_H-M_alt 'P 4/m m m'
_space_group_IT_number 123
_space_group_name_Hall '-P 4 2'
loop_
_atom_site_label
_atom_site_type_symbol
_atom_site_fract_x
_atom_site_fract_y
_atom_site_fract_z
Mn1 Mn 0.000 0.000 0.000
Be1 Be 0.500 0.500 0.500
P1 P 0.000 0.500 0.500
S1 S 0.500 0.500 0.000
# crystal system	tetragonal
# N(E_F)	3.3	states/eV/f.u.
# formation energy (no corrections)	607	meV/atom
# size of the total moment	3.83	Bohr magnetons per cell

=====

Entry 4:
# PBE MnBe2SbP, optimized geometry
data_MnBe2SbP
_cell_length_a 4.441
_cell_length_b 4.441
_cell_length_c 5.238
_cell_angle_alpha 90.00
_cell_angle_beta 90.00
_cell_angle_gamma 90.00
_space_group_name_H-M_alt 'P 4/m m m'
_space_group_IT_number 123
_space_group_name_Hall '-P 4 2'
loop_
_atom_site_label
_atom_site_type_symbol
_atom_site_fract_x
_atom_site_fract_y
_atom_site_fract_z
Mn1 Mn 0.000 0.000 0.000
Be1 Be 0.000 0.500 0.500
Sb1 Sb 0.000 0.000 0.500
P1 P 0.500 0.500 0.000
# crystal system	tetragonal
# N(E_F)	1.9	states/eV/f.u.
# formation energy (no corrections)	1211	meV/atom
# size of the total moment	4.45	Bohr magnetons per cell

=====

Entry 5:
# PBE MnBeTc2P, optimized geometry
data_MnBeTc2P
_cell_length_a 4.350
_cell_length_b 4.350
_cell_length_c 4.139
_cell_angle_alpha 90.00
_cell_angle_beta 90.00
_cell_angle_gamma 90.00
_space_group_name_H-M_alt 'P 4/m m m'
_space_group_IT_number 123
_space_group_name_Hall '-P 4 2'
loop_
_atom_site_label
_atom_site_type_symbol
_atom_site_fract_x
_atom_site_fract_y
_atom_site_fract_z
Mn1 Mn 0.000 0.000 0.000
Be1 Be 0.500 0.500 0.000
Tc1 Tc 0.000 0.500 0.500
P1 P 0.000 0.000 0.500
# crystal system	tetragonal
# N(E_F)	4.0	states/eV/f.u.
# size of the total moment	1.61	Bohr magnetons per cell

=====

Entry 6:
# PBE MnBe2TeP, optimized geometry
data_MnBe2TeP
_cell_length_a 4.488
_cell_length_b 4.488
_cell_length_c 4.813
_cell_angle_alpha 90.00
_cell_angle_beta 90.00
_cell_angle_gamma 90.00
_space_group_name_H-M_alt 'P 4/m m m'
_space_group_IT_number 123
_space_group_name_Hall '-P 4 2'
loop_
_atom_site_label
_atom_site_type_symbol
_atom_site_fract_x
_atom_site_fract_y
_atom_site_fract_z
Mn1 Mn 0.000 0.000 0.000
Be1 Be 0.000 0.500 0.500
Te1 Te 0.000 0.000 0.500
P1 P 0.500 0.500 0.000
# crystal system	tetragonal
# N(E_F)	9.3	states/eV/f.u.
# formation energy (no corrections)	1604	meV/atom
# size of the total moment	0.04	Bohr magnetons per cell

=====

| no. | VASP energy (eV per atom) |
| --- | --- |
| 1 | -4.6163 |
| 2 | -4.8401 |
| 3 | -4.9613 |
| 4 | -4.0203 |
| 5 | -7.2015 |
| 6 | -3.4303 |